Below is an optimized crystal structure of TeRu, with properties calculated at the GGA-PBE level.

The structure belongs to space group P6_3mc (No. 186); the cell edges are 3.8817, 3.8817 and 7.6216 Å and the angles 90.00°, 90.00° and 120.00°. The distinct sites, in fractional coordinates, are Te at (0.3333, 0.6667, 0.0000) and Ru at (0.3333, 0.6667, 0.6545).

The calculation puts the volume at 24.86 A^3/atom. The value obtained for the formation energy from raw total energies is 0.32 eV/atom. For the total DFT energy (no corrections), the calculation gives -5.885 eV per atom.